VASP calculation (PBE) on a relaxed Tl4Cl3O2 crystal.

Summary:
Formation energy (no corrections): -0.7059 eV per atom
Calculated density: 6.930 g cm⁻³
Calculated total energy: -31.27 eV/cell

Unit cell a=3.806 b=6.853 c=9.171 alpha=94.36 beta=90.00 gamma=106.12
Sites, in units of the cell vectors:
Cl1 0.000 0.000 0.000
Cl2 0.402 0.805 0.629
Tl1 0.895 0.789 0.334
Tl2 0.105 0.211 0.666
O1 0.731 0.462 0.867
Cl3 0.598 0.195 0.371
O2 0.269 0.538 0.133
Tl3 0.330 0.660 0.903
Tl4 0.670 0.340 0.097

---

VASP calculation (PBE) on a relaxed Mn3PPd crystal.

Summary:
ΔE to the lowest computed polymorph: 443.4 meV per atom
Calculated density: 4.609 g cm⁻³
Calculated total energy: -33.15 eV/cell

Unit cell a=4.775 b=4.775 c=4.775 alpha=90.00 beta=90.00 gamma=90.00
Each line ends with the local moment (μB).
Sites, in units of the cell vectors:
Mn1 0.000 0.000 0.500  4.17
Pd1 0.000 0.000 0.000  0.37
Mn2 0.500 0.000 0.000  4.01
Mn3 0.000 0.500 0.000  4.05
P1 0.500 0.500 0.500  -0.11

---

VASP calculation (PBE) on a relaxed ZrBe17Ag crystal.

Summary:
Calculated density: 3.315 g cm⁻³
Calculated total energy: -76.46 eV/cell

Unit cell a=5.650 b=5.650 c=5.650 alpha=82.86 beta=82.86 gamma=82.86
Sites, in units of the cell vectors:
Be1 0.710 0.997 0.295
Be2 0.657 0.150 0.657
Be3 0.013 0.492 0.013
Zr1 0.341 0.341 0.341
Be4 0.839 0.342 0.342
Be5 0.342 0.342 0.839
Be6 0.997 0.710 0.295
Be7 0.150 0.657 0.657
Be8 0.997 0.295 0.710
Be9 0.342 0.839 0.342
Ag1 0.649 0.649 0.649
Be10 0.657 0.657 0.150
Be11 0.098 0.098 0.098
Be12 0.295 0.997 0.710
Be13 0.710 0.295 0.997
Be14 0.295 0.710 0.997
Be15 0.013 0.013 0.492
Be16 0.492 0.013 0.013
Be17 0.902 0.902 0.902

---

VASP calculation (PBE) on a relaxed LaTmMgCd crystal.

Summary:
ΔE to the lowest computed polymorph: 2.8 meV per atom
Calculated density: 6.528 g cm⁻³
Calculated total energy: -12.68 eV/cell

Unit cell a=5.428 b=5.428 c=5.428 alpha=60.00 beta=60.00 gamma=60.00
Sites, in units of the cell vectors:
Cd1 0.750 0.750 0.750
Mg1 0.250 0.250 0.250
La1 0.000 0.000 0.000
Tm1 0.500 0.500 0.500

---

VASP calculation (PBE) on a relaxed DyTh2Ni crystal.

Summary:
ΔE to the lowest computed polymorph: 127.5 meV per atom
Calculated density: 10.603 g cm⁻³
Calculated total energy: -25.59 eV/cell

Unit cell a=3.558 b=3.558 c=8.479 alpha=90.00 beta=90.00 gamma=90.00
Sites, in units of the cell vectors:
Th1 0.000 0.000 0.194
Th2 0.000 0.000 0.806
Dy1 0.500 0.500 0.500
Ni1 0.500 0.500 0.000

---

VASP calculation (PBE) on a relaxed Be2AsPb crystal.

Summary:
ΔE to the lowest computed polymorph: 71.5 meV per atom
Calculated density: 7.107 g cm⁻³
Calculated total energy: -14.67 eV/cell

Unit cell a=3.599 b=3.599 c=6.616 alpha=73.20 beta=73.20 gamma=60.29
Sites, in units of the cell vectors:
As1 0.250 0.250 0.250
Be1 0.527 0.527 0.414
Pb1 0.750 0.750 0.750
Be2 0.973 0.973 0.086

---

VASP calculation (PBE) on a relaxed GeHCl3 crystal.

Summary:
ΔE to the lowest computed polymorph: 0.0 meV per atom
Calculated density: 2.192 g cm⁻³
Calculated total energy: -31.87 eV/cell

Unit cell a=3.224 b=5.801 c=15.270 alpha=95.75 beta=90.00 gamma=106.13
Sites, in units of the cell vectors:
H1 0.849 0.699 0.598
Cl1 0.142 0.284 0.771
Cl2 0.153 0.305 0.077
Cl3 0.618 0.237 0.409
Ge1 0.640 0.281 0.891
Cl4 0.847 0.695 0.923
Cl5 0.858 0.716 0.229
Cl6 0.382 0.763 0.591
H2 0.151 0.301 0.402
Ge2 0.360 0.719 0.109

---

VASP calculation (PBE) on a relaxed Ce3ZrSc6 crystal.

Summary:
Calculated density: 5.093 g cm⁻³
Calculated total energy: -125.65 eV/cell

Unit cell a=5.949 b=10.673 c=10.673 alpha=131.25 beta=90.00 gamma=90.00
Each line ends with the local moment (μB).
Sites, in units of the cell vectors:
Sc1 0.326 0.452 0.897  0.01
Sc2 0.299 0.699 0.301  0.01
Sc3 0.326 0.103 0.548  0.01
Sc4 0.799 0.301 0.699  0.01
Sc5 0.052 0.758 0.618  0.02
Ce1 0.009 0.030 0.285  0.20
Ce2 0.089 0.428 0.572  0.36
Zr1 0.529 0.843 0.157  0.00
Ce3 0.009 0.715 0.970  0.20
Sc6 0.552 0.618 0.758  0.02
Ce4 0.509 0.970 0.715  0.20
Sc7 0.826 0.548 0.103  0.01
Sc8 0.794 0.005 0.995  0.02
Zr2 0.029 0.157 0.843  0.00
Sc9 0.052 0.382 0.242  0.02
Sc10 0.294 0.995 0.005  0.02
Sc11 0.826 0.897 0.452  0.01
Ce5 0.589 0.572 0.428  0.36
Ce6 0.509 0.285 0.030  0.20
Sc12 0.552 0.242 0.382  0.02

---

Computed magnetic moment (μB/cell) in order:
0.0 13.2 0.0 0.0 0.0 0.0 0.0 2.0